1.
Compound: SmAgPbS3
Source: OQMD via LeMat-Bulk
Functional: PBE-GGA
Structure: relaxed

Summary:
As for the electronic total energy: -4.945 eV/atom. As for the crystal system: orthorhombic.

abc: 11.633 4.191 11.695
angles: 90.00 90.00 90.00
Space group Pnma (No. 62)
One atom of each set of equivalent atoms:
Sm 0.021 0.250 0.175 (multiplicity 4)
Ag 0.247 0.750 0.303 (multiplicity 4)
Pb 0.167 0.250 0.513 (multiplicity 4)
S 0.034 0.750 0.351 (multiplicity 4)
S 0.088 0.250 0.936 (multiplicity 4)
S 0.235 0.750 0.674 (multiplicity 4)



2.
Compound: SmAgPbS3
Source: OQMD via LeMat-Bulk
Functional: PBE-GGA
Structure: relaxed

Summary:
As for the electronic total energy: -4.969 eV/atom. As for the crystal system: monoclinic.

abc: 17.695 3.999 8.400
angles: 90.00 103.91 90.00
Space group C2/m (No. 12)
One atom of each set of equivalent atoms:
Sm 0.163 0.000 0.089 (multiplicity 4)
Ag 0.024 0.500 0.212 (multiplicity 4)
Pb 0.132 0.000 0.574 (multiplicity 4)
S 0.000 0.000 0.000 (multiplicity 2)
S 0.000 0.500 0.500 (multiplicity 2)
S 0.173 0.500 0.857 (multiplicity 4)
S 0.179 0.500 0.326 (multiplicity 4)



3.
Compound: TaAg2PbS4
Source: OQMD via LeMat-Bulk
Functional: PBE-GGA
Structure: relaxed

Summary:
As for the electronic total energy: -5.104 eV/atom. As for the crystal system: orthorhombic.

abc: 10.733 11.257 6.293
angles: 90.00 90.00 90.00
Space group Ama2 (No. 40)
One atom of each set of equivalent atoms:
Ta 0.250 0.224 0.000 (multiplicity 4)
Ag 0.092 0.403 0.451 (multiplicity 8)
Pb 0.000 0.000 0.448 (multiplicity 4)
S 0.076 0.216 0.211 (multiplicity 8)
S 0.250 0.060 0.785 (multiplicity 4)
S 0.250 0.398 0.803 (multiplicity 4)



4.
Compound: TbAgTePbS2
Source: OQMD via LeMat-Bulk
Functional: PBE-GGA
Structure: relaxed

Summary:
As for the electronic total energy: -4.659 eV/atom. As for the crystal system: orthorhombic.

abc: 4.089 14.114 11.221
angles: 90.00 90.00 90.00
Space group Cmcm (No. 63)
One atom of each set of equivalent atoms:
Tb 0.000 0.000 0.000 (multiplicity 4)
Ag 0.000 0.478 0.250 (multiplicity 4)
Te 0.000 0.114 0.250 (multiplicity 4)
Pb 0.000 0.209 0.750 (multiplicity 4)
S 0.000 0.376 0.065 (multiplicity 8)



5.
Compound: TbAgTe2PbS
Source: OQMD via LeMat-Bulk
Functional: PBE-GGA
Structure: relaxed

Summary:
As for the electronic total energy: -4.412 eV/atom. As for the crystal system: orthorhombic.

abc: 4.363 14.634 10.459
angles: 90.00 90.00 90.00
Space group Cmcm (No. 63)
One atom of each set of equivalent atoms:
Tb 0.000 0.000 0.000 (multiplicity 4)
Ag 0.000 0.482 0.250 (multiplicity 4)
Te 0.000 0.351 0.055 (multiplicity 8)
Pb 0.000 0.269 0.750 (multiplicity 4)
S 0.000 0.077 0.250 (multiplicity 4)



6.
Compound: TlAgTePbS2
Source: OQMD via LeMat-Bulk
Functional: PBE-GGA
Structure: relaxed

Summary:
As for the electronic total energy: -3.467 eV/atom. As for the crystal system: orthorhombic.

abc: 3.873 15.154 12.078
angles: 90.00 90.00 90.00
Space group Cmcm (No. 63)
One atom of each set of equivalent atoms:
Tl 0.000 0.234 0.250 (multiplicity 4)
Ag 0.000 0.432 0.750 (multiplicity 4)
Te 0.000 0.077 0.750 (multiplicity 4)
Pb 0.000 0.000 0.000 (multiplicity 4)
S 0.000 0.376 0.559 (multiplicity 8)



7.
Compound: TmAgTePbS2
Source: OQMD via LeMat-Bulk
Functional: PBE-GGA
Structure: relaxed

Summary:
As for the electronic total energy: -4.612 eV/atom. As for the crystal system: orthorhombic.

abc: 4.033 14.063 11.137
angles: 90.00 90.00 90.00
Space group Cmcm (No. 63)
One atom of each set of equivalent atoms:
Tm 0.000 0.000 0.000 (multiplicity 4)
Ag 0.000 0.474 0.250 (multiplicity 4)
Te 0.000 0.112 0.250 (multiplicity 4)
Pb 0.000 0.211 0.750 (multiplicity 4)
S 0.000 0.377 0.061 (multiplicity 8)



8.
Compound: YAgTe2PbS
Source: OQMD via LeMat-Bulk
Functional: PBE-GGA
Structure: relaxed

Summary:
As for the electronic total energy: -4.720 eV/atom. As for the crystal system: orthorhombic.

abc: 4.352 14.576 10.462
angles: 90.00 90.00 90.00
Space group Cmcm (No. 63)
One atom of each set of equivalent atoms:
Y 0.000 0.000 0.000 (multiplicity 4)
Ag 0.000 0.481 0.250 (multiplicity 4)
Te 0.000 0.351 0.054 (multiplicity 8)
Pb 0.000 0.269 0.750 (multiplicity 4)
S 0.000 0.077 0.250 (multiplicity 4)



9.
Compound: TlAg3PbS4
Source: OQMD via LeMat-Bulk
Functional: PBE-GGA
Structure: relaxed

Summary:
As for the electronic total energy: -3.505 eV/atom. As for the crystal system: cubic.

abc: 6.193 6.193 6.193
angles: 90.00 90.00 90.00
Space group P-43m (No. 215)
One atom of each set of equivalent atoms:
Tl 0.000 0.000 0.000 (multiplicity 1)
Ag 0.000 0.500 0.500 (multiplicity 3)
Pb 0.500 0.500 0.500 (multiplicity 1)
S 0.243 0.243 0.243 (multiplicity 4)



10.
Compound: Ag2PbWS4
Source: OQMD via LeMat-Bulk
Functional: PBE-GGA
Structure: relaxed

Summary:
As for the electronic total energy: -5.057 eV/atom. As for the crystal system: orthorhombic.

abc: 11.184 11.519 6.072
angles: 90.00 90.00 90.00
Space group Ama2 (No. 40)
One atom of each set of equivalent atoms:
Ag 0.093 0.082 0.000 (multiplicity 8)
Pb 0.000 0.000 0.458 (multiplicity 4)
W 0.250 0.258 0.584 (multiplicity 4)
S 0.084 0.273 0.785 (multiplicity 8)
S 0.250 0.096 0.375 (multiplicity 4)
S 0.250 0.415 0.379 (multiplicity 4)



11.
Compound: AgSb2Pb
Source: OQMD via LeMat-Bulk
Functional: PBE-GGA
Structure: relaxed

Summary:
As for the electronic total energy: -3.486 eV/atom. As for the crystal system: cubic.

abc: 7.480 7.480 7.480
angles: 90.00 90.00 90.00
Space group F-43m (No. 216)
One atom of each set of equivalent atoms:
Ag 0.000 0.000 0.000 (multiplicity 4)
Sb 0.000 0.000 0.500 (multiplicity 4)
Sb 0.250 0.250 0.250 (multiplicity 4)
Pb 0.250 0.250 0.750 (multiplicity 4)



12.
Compound: AgSbPb2
Source: OQMD via LeMat-Bulk
Functional: PBE-GGA
Structure: relaxed

Summary:
As for the electronic total energy: -3.410 eV/atom. As for the crystal system: cubic.

abc: 7.588 7.588 7.588
angles: 90.00 90.00 90.00
Space group F-43m (No. 216)
One atom of each set of equivalent atoms:
Ag 0.000 0.000 0.000 (multiplicity 4)
Sb 0.250 0.250 0.750 (multiplicity 4)
Pb 0.000 0.000 0.500 (multiplicity 4)
Pb 0.250 0.250 0.250 (multiplicity 4)



13.
Compound: ScAgPb2
Source: OQMD via LeMat-Bulk
Functional: PBE-GGA
Structure: relaxed

Summary:
As for the electronic total energy: -4.128 eV/atom. As for the crystal system: cubic.

abc: 7.405 7.405 7.405
angles: 90.00 90.00 90.00
Space group F-43m (No. 216)
One atom of each set of equivalent atoms:
Sc 0.000 0.000 0.000 (multiplicity 4)
Ag 0.250 0.250 0.250 (multiplicity 4)
Pb 0.000 0.000 0.500 (multiplicity 4)
Pb 0.250 0.250 0.750 (multiplicity 4)



14.
Compound: ScAgTePbSe2
Source: OQMD via LeMat-Bulk
Functional: PBE-GGA
Structure: relaxed

Summary:
As for the electronic total energy: -4.588 eV/atom. As for the crystal system: orthorhombic.

abc: 4.027 14.157 10.796
angles: 90.00 90.00 90.00
Space group Cmcm (No. 63)
One atom of each set of equivalent atoms:
Sc 0.000 0.000 0.000 (multiplicity 4)
Ag 0.000 0.465 0.250 (multiplicity 4)
Te 0.000 0.101 0.250 (multiplicity 4)
Pb 0.000 0.217 0.750 (multiplicity 4)
Se 0.000 0.368 0.045 (multiplicity 8)



15.
Compound: YScAg2Pb2
Source: OQMD via LeMat-Bulk
Functional: PBE-GGA
Structure: relaxed

Summary:
As for the electronic total energy: -4.622 eV/atom. As for the crystal system: monoclinic.

abc: 9.531 4.764 14.283
angles: 90.00 109.47 90.00
Space group Pm (No. 6)
One atom of each set of equivalent atoms:
Y 0.000 0.000 0.000 (multiplicity 1)
Y 0.124 0.500 0.747 (multiplicity 1)
Y 0.250 0.000 0.498 (multiplicity 1)
Y 0.502 0.000 0.000 (multiplicity 1)
Sc 0.376 0.500 0.250 (multiplicity 1)
Sc 0.627 0.500 0.748 (multiplicity 1)
Sc 0.750 0.000 0.498 (multiplicity 1)
Sc 0.876 0.500 0.250 (multiplicity 1)
Ag 0.065 0.500 0.130 (multiplicity 1)
Ag 0.187 0.000 0.874 (multiplicity 1)
Ag 0.320 0.500 0.625 (multiplicity 1)
Ag 0.442 0.000 0.371 (multiplicity 1)
Ag 0.567 0.500 0.130 (multiplicity 1)
Ag 0.686 0.000 0.869 (multiplicity 1)
Ag 0.806 0.500 0.620 (multiplicity 1)
Ag 0.932 0.000 0.372 (multiplicity 1)
Pb 0.127 0.000 0.251 (multiplicity 1)
Pb 0.252 0.500 0.003 (multiplicity 1)
Pb 0.378 0.000 0.749 (multiplicity 1)
Pb 0.502 0.500 0.496 (multiplicity 1)
Pb 0.627 0.000 0.250 (multiplicity 1)
Pb 0.751 0.500 0.999 (multiplicity 1)
Pb 0.870 0.000 0.745 (multiplicity 1)
Pb 0.996 0.500 0.497 (multiplicity 1)



16.
Compound: Ag5Pb2Se6
Source: OQMD via LeMat-Bulk
Functional: PBE-GGA
Structure: relaxed

Summary:
As for the electronic total energy: -3.393 eV/atom. As for the crystal system: trigonal.

abc: 7.3551 7.3551 7.6609
angles: 90.00 90.00 120.00
Space group P-31m (No. 162)
One atom of each set of equivalent atoms:
Ag 0.0000 0.0000 0.2306 (multiplicity 2)
Ag 0.0000 0.5000 0.5000 (multiplicity 3)
Pb 0.3333 0.6667 0.0000 (multiplicity 2)
Se 0.0000 0.3448 0.7867 (multiplicity 6)



17.
Compound: Ag2SnPbSe4
Source: OQMD via LeMat-Bulk
Functional: PBE-GGA
Structure: relaxed

Summary:
As for the electronic total energy: -3.690 eV/atom. As for the crystal system: orthorhombic.

abc: 7.225 7.472 8.108
angles: 90.00 90.00 90.00
Space group I222 (No. 23)
One atom of each set of equivalent atoms:
Ag 0.000 0.000 0.185 (multiplicity 4)
Sn 0.000 0.500 0.500 (multiplicity 2)
Pb 0.000 0.500 0.000 (multiplicity 2)
Se 0.206 0.300 0.682 (multiplicity 8)



18.
Compound: TbAgPbSe3
Source: OQMD via LeMat-Bulk
Functional: PBE-GGA
Structure: relaxed

Summary:
As for the electronic total energy: -4.570 eV/atom. As for the crystal system: orthorhombic.

abc: 4.124 13.848 10.684
angles: 90.00 90.00 90.00
Space group Cmcm (No. 63)
One atom of each set of equivalent atoms:
Tb 0.000 0.000 0.000 (multiplicity 4)
Ag 0.000 0.468 0.250 (multiplicity 4)
Pb 0.000 0.240 0.750 (multiplicity 4)
Se 0.000 0.091 0.250 (multiplicity 4)
Se 0.000 0.356 0.052 (multiplicity 8)



19.
Compound: TbAgPbSe3
Source: OQMD via LeMat-Bulk
Functional: PBE-GGA
Structure: relaxed

Summary:
As for the electronic total energy: -4.577 eV/atom. As for the crystal system: monoclinic.

abc: 18.153 4.107 8.667
angles: 90.00 102.94 90.00
Space group C2/m (No. 12)
One atom of each set of equivalent atoms:
Tb 0.164 0.000 0.091 (multiplicity 4)
Ag 0.031 0.500 0.213 (multiplicity 4)
Pb 0.132 0.000 0.576 (multiplicity 4)
Se 0.000 0.000 0.000 (multiplicity 2)
Se 0.000 0.500 0.500 (multiplicity 2)
Se 0.172 0.500 0.859 (multiplicity 4)
Se 0.184 0.500 0.331 (multiplicity 4)



20.
Compound: TbAgPbSe3
Source: OQMD via LeMat-Bulk
Functional: PBE-GGA
Structure: relaxed

Summary:
As for the electronic total energy: -4.539 eV/atom. As for the crystal system: orthorhombic.

abc: 8.491 4.315 16.733
angles: 90.00 90.00 90.00
Space group Pnma (No. 62)
One atom of each set of equivalent atoms:
Tb 0.250 0.250 0.033 (multiplicity 4)
Ag 0.126 0.250 0.361 (multiplicity 4)
Pb 0.072 0.250 0.776 (multiplicity 4)
Se 0.030 0.250 0.587 (multiplicity 4)
Se 0.110 0.750 0.943 (multiplicity 4)
Se 0.189 0.250 0.205 (multiplicity 4)